1.
The following is a DFT calculation (PBE-GGA) of a geometry-optimized Th2Tl2In structure.

Lattice parameters (Å, degrees): 7.851 7.851 9.490 90.00 90.00 90.00
Sites, in units of the cell vectors:
1 Tl 0.633 0.133 0.250
2 Tl 0.133 0.367 0.250
3 Tl 0.367 0.867 0.750
4 Tl 0.867 0.633 0.750
5 Tl 0.633 0.133 0.750
6 Tl 0.367 0.867 0.250
7 Tl 0.133 0.367 0.750
8 Tl 0.867 0.633 0.250
9 Th 0.672 0.828 0.500
10 Th 0.172 0.672 0.000
11 Th 0.828 0.328 0.000
12 Th 0.328 0.172 0.000
13 Th 0.828 0.328 0.500
14 Th 0.328 0.172 0.500
15 Th 0.172 0.672 0.500
16 Th 0.672 0.828 0.000
17 In 0.500 0.500 0.250
18 In 0.000 0.000 0.250
19 In 0.500 0.500 0.750
20 In 0.000 0.000 0.750

2.
The following is a DFT calculation (PBE-GGA) of a geometry-optimized Th2TlIn structure.

Lattice parameters (Å, degrees): 3.534 3.534 9.264 90.00 90.00 90.00
Sites, in units of the cell vectors:
1 Tl 0.500 0.500 0.500
2 In 0.500 0.500 0.000
3 Th 0.000 0.000 0.753
4 Th 0.000 0.000 0.247

3.
The following is a DFT calculation (PBE-GGA) of a geometry-optimized Th2TlIn structure.

Lattice parameters (Å, degrees): 3.551 5.810 5.810 105.16 90.00 90.00
Sites, in units of the cell vectors:
1 Th 0.000 0.500 0.000
2 Th 0.000 0.000 0.500
3 Tl 0.500 0.000 0.000
4 In 0.500 0.500 0.500

no.,formation energy (eV per atom)
1,-0.118
2,-0.217
3,-0.211